Entry 1:
Ti2B2W (PBE-GGA, relaxed); electronic total energy = -44.97 eV/cell; magnetic moment = 0.00 μB per formula unit
1.0
-2.499 -2.021 -0.208
1.384 -4.387 1.053
-1.186 -1.542 4.300
W Ti B
1 2 2
Cartesian
0.000 0.000 0.000
-0.472 -2.137 1.499
-1.829 -5.813 3.646
-0.703 -4.470 2.007
-1.598 -3.480 3.138

***

Entry 2:
TiZnBW2 (PBE-GGA, relaxed); electronic total energy = -40.91 eV/cell; magnetic moment = 0.00 μB per formula unit
1.0
-1.187 2.199 -3.353
-3.854 0.555 1.728
1.329 3.515 1.835
W B Zn Ti
2 1 1 1
Cartesian
0.665 1.757 0.917
-0.593 1.100 -1.677
0.000 0.000 0.000
-1.856 3.135 0.105
-1.927 0.278 0.864